A relaxed structure of Tm2Tc, computed with PBE.

Structure (extended XYZ):
```
3
Lattice="-1.9269 -1.0253 -2.6458 2.8086 -0.2125 -1.9573 0.3045 -5.1694 4.0087" Properties=species:S:1:pos:R:3 pbc="T T T"
Tc 0.4408 -0.6189 -2.3016
Tm 0.1960 -1.5219 0.4489
Tm 0.9902 -4.8853 -1.0434
```

Calculated values
* ΔE_f: -0.110 eV/atom
* ρ: 10.12 g cm⁻³
* calculated volume: 23.845 Å³ per atom
* excess energy over the best structure of this formula in the dataset: 0.0 meV per atom
* VASP energy: -6.5462 eV per atom
* magnetization: 0.0000 μB per atom
* space group: Fmmm (69)

=====

A relaxed structure of Cr2Co, computed with PBE.

Structure (extended XYZ):
```
12
Lattice="4.6308 0.0000 0.0000 -2.3154 4.0104 0.0000 0.0000 0.0000 7.4897" Properties=species:S:1:pos:R:3 pbc="T T T"
Cr 1.1219 3.3213 5.6173
Cr 0.0000 0.0000 0.0000
Cr 0.0000 1.3781 5.6173
Cr -1.1219 3.3213 5.6173
Cr 1.1935 0.6891 1.8724
Cr 0.0000 0.0000 3.7449
Cr 2.3154 2.6322 1.8724
Cr 3.4373 0.6891 1.8724
Co 2.3154 1.3368 7.0180
Co 0.0000 2.6736 0.4717
Co 0.0000 2.6736 3.2732
Co 2.3154 1.3368 4.2166
```

Calculated values
* ΔE_f: 0.293 eV/atom
* ρ: 7.78 g cm⁻³
* calculated volume: 11.591 Å³ per atom
* VASP energy: -8.4907 eV per atom
* magnetization: 0.0008 μB per atom
* space group: P6_3/mmc (194)

=====

A relaxed structure of SiS2Br, computed with PBE.

Structure (extended XYZ):
```
8
Lattice="6.7368 0.0000 0.0000 0.0000 6.7368 0.0000 3.3684 3.3684 4.1261" Properties=species:S:1:pos:R:3 pbc="T T T"
S 4.3179 1.6842 1.0315
S 2.4188 5.0526 1.0315
S 5.0526 5.7872 3.0946
S 8.4210 7.6863 3.0946
Br 0.0000 0.0000 0.0000
Br 6.7368 3.3684 2.0631
Si 3.3684 3.3684 0.0000
Si 3.3684 6.7368 2.0631
```

Calculated values
* ρ: 3.05 g cm⁻³
* calculated volume: 23.407 Å³ per atom
* excess energy over the best structure of this formula in the dataset: 265.6 meV per atom
* VASP energy: -3.8511 eV per atom
* magnetization: 0.2447 μB per atom
* space group: I-42d (122)

=====

A relaxed structure of KLi4Sb, computed with PBE.

Structure (extended XYZ):
```
6
Lattice="0.0000 4.0922 4.0922 4.0922 0.0000 4.0922 4.0922 4.0922 0.0000" Properties=species:S:1:pos:R:3 pbc="T T T"
Li 5.1164 3.0680 5.1164
Li 3.0680 5.1164 5.1164
Li 5.1164 5.1164 3.0680
Li 3.0680 3.0680 3.0680
Sb 6.1383 6.1383 6.1383
K 0.0000 0.0000 0.0000
```

Calculated values
* ρ: 2.29 g cm⁻³
* calculated volume: 22.843 Å³ per atom
* VASP energy: -2.3078 eV per atom
* magnetization: 0.0000 μB per atom
* space group: F-43m (216)

=====

A relaxed structure of LaSiNi2, computed with PBE.

Structure (extended XYZ):
```
4
Lattice="4.4582 0.0175 0.0000 -0.0159 4.4582 0.0000 0.0000 0.0000 3.3846" Properties=species:S:1:pos:R:3 pbc="T T T"
Si 2.2291 0.0087 1.6923
Ni 0.0000 0.0000 0.0000
Ni 2.2211 2.2378 0.0000
La -0.0080 2.2291 1.6923
```

Calculated values
* ρ: 7.02 g cm⁻³
* calculated volume: 16.818 Å³ per atom
* VASP energy: -5.5676 eV per atom
* magnetization: 0.0001 μB per atom
* space group: P4/mmm (123)

=====

A relaxed structure of Mg2TiNi3S8, computed with PBE.

Structure (extended XYZ):
```
14
Lattice="-6.5277 2.6073 -0.7949 -4.3538 -2.8867 -4.7700 -5.5602 -3.7851 2.1906" Properties=species:S:1:pos:R:3 pbc="T T T"
S -12.0516 -2.9792 -2.4733
S -9.2625 -4.1857 -2.1456
S -10.2390 -1.7179 -0.3601
S -9.6971 -1.3144 -3.4866
S -4.3901 -1.0853 -0.9010
S -7.1792 0.1212 -1.2287
S -6.2028 -2.3465 -3.0141
S -6.7446 -2.7500 0.1123
Ni -6.0440 -0.5889 0.6979
Ni -5.4408 -0.1397 -2.7824
Ni -4.9570 -3.3359 -1.2897
Mg -14.3683 -3.5519 -2.9488
Mg -2.0735 -0.5126 -0.4255
Ti -8.2209 -2.0322 -1.6871
```

Calculated values
* ρ: 3.48 g cm⁻³
* calculated volume: 18.058 Å³ per atom
* VASP energy: -5.0762 eV per atom
* magnetization: 0.0002 μB per atom
* space group: R-3m (166)

=====

A relaxed structure of PrEuSn, computed with PBE.

Structure (extended XYZ):
```
3
Lattice="3.8512 0.0000 0.0000 0.0000 5.3359 0.0000 0.0000 -2.6679 4.6210" Properties=species:S:1:pos:R:3 pbc="T T T"
Pr 1.4433 0.0000 3.0807
Eu 3.7195 0.0000 0.0000
Sn 2.5397 2.6680 1.5403
```

Calculated values
* ΔE_f: -0.406 eV/atom
* ρ: 7.20 g cm⁻³
* calculated volume: 31.654 Å³ per atom
* excess energy over the best structure of this formula in the dataset: 53.8 meV per atom
* VASP energy: -6.7586 eV per atom
* magnetization: 2.4874 μB per atom
* space group: P3m1 (156)

=====

A relaxed structure of Ca2OsBr, computed with PBE.

Structure (extended XYZ):
```
4
Lattice="5.8001 0.0068 -0.0021 4.8734 3.1451 -0.0021 0.0021 0.0006 5.1228" Properties=species:S:1:pos:R:3 pbc="T T T"
Os 5.1764 1.5286 3.1998
Ca 0.0487 0.0144 0.6409
Ca 7.9190 2.3385 3.1986
Br 2.8693 0.8473 0.6384
```

Calculated values
* ρ: 6.24 g cm⁻³
* calculated volume: 23.320 Å³ per atom
* excess energy over the best structure of this formula in the dataset: 209.9 meV per atom
* VASP energy: -4.3684 eV per atom
* magnetization: 0.0000 μB per atom
* space group: Amm2 (38)

=====

A relaxed structure of La2TaAu, computed with PBE.

Structure (extended XYZ):
```
4
Lattice="5.8938 0.0119 0.0000 2.4543 5.3585 0.0000 -4.1741 -2.6852 3.1787" Properties=species:S:1:pos:R:3 pbc="T T T"
Ta 4.1741 2.6852 0.0000
La 0.0000 0.0000 0.0000
La 1.2272 2.6792 1.5893
Au 2.9469 0.0060 1.5893
```

Calculated values
* ΔE_f: 0.163 eV/atom
* ρ: 10.86 g cm⁻³
* calculated volume: 25.074 Å³ per atom
* excess energy over the best structure of this formula in the dataset: 168.9 meV per atom
* VASP energy: -6.0832 eV per atom
* magnetization: 0.0002 μB per atom
* space group: I-4m2 (119)

=====

A relaxed structure of PmNd6Hg, computed with PBE.

Structure (extended XYZ):
```
8
Lattice="-1.1302 5.9100 7.4714 0.9652 -2.5728 8.3240 3.6074 2.2746 4.9004" Properties=species:S:1:pos:R:3 pbc="T T T"
Nd 2.6715 3.6743 17.1993
Nd 0.7709 1.9375 3.4965
Nd 3.1007 0.8347 7.6961
Nd 0.3416 4.7771 12.9997
Nd 0.1760 3.0529 6.9523
Nd 3.2664 2.5589 13.7435
Hg 0.0000 0.0000 0.0000
Pm 1.7212 2.8059 10.3479
```

Calculated values
* ΔE_f: -0.022 eV/atom
* ρ: 7.42 g cm⁻³
* calculated volume: 33.863 Å³ per atom
* VASP energy: -4.2294 eV per atom
* magnetization: 0.0000 μB per atom
* space group: P-1 (2)

=====

A relaxed structure of Ba2Ta2S5, computed with PBE.

Structure (extended XYZ):
```
9
Lattice="4.8745 0.0000 0.0000 -2.4372 6.5712 -0.6738 0.0000 -1.6932 7.4593" Properties=species:S:1:pos:R:3 pbc="T T T"
S 0.0000 0.9750 4.2102
S 2.4372 3.9030 2.5754
S 0.0000 0.0000 0.0000
S 2.4373 0.3762 6.6116
S 0.0000 4.5018 0.1739
Ta 2.4372 4.1753 0.2286
Ta 0.0000 0.7027 6.5570
Ba 0.0000 4.0879 4.6472
Ba 2.4373 0.7901 2.1383
```

Calculated values
* ρ: 5.67 g cm⁻³
* calculated volume: 25.930 Å³ per atom
* VASP energy: -6.6218 eV per atom
* magnetization: 0.0000 μB per atom
* space group: C2/m (12)

=====

A relaxed structure of B2C, computed with PBE.

Structure (extended XYZ):
```
12
Lattice="-2.4156 -1.3050 -0.2362 1.7296 -3.7023 2.7658 -2.6478 4.1557 4.1192" Properties=species:S:1:pos:R:3 pbc="T T T"
C -1.1748 -1.1031 2.0334
C -2.5003 1.1696 3.0331
C -0.8182 0.3011 6.7031
C -1.1801 -1.5812 4.7288
B -0.2958 0.0816 2.5734
B -0.3996 -0.1604 4.9726
B -1.0363 1.2604 3.6348
B 1.0255 -2.4136 2.8462
B -0.7149 -2.1842 3.3028
B -0.3491 -2.5687 1.6860
B -1.2652 1.3637 5.4037
B -0.9943 -1.1396 0.3892
```

Calculated values
* ΔE_f: 0.312 eV/atom
* ρ: 2.66 g cm⁻³
* calculated volume: 7.006 Å³ per atom
* excess energy over the best structure of this formula in the dataset: 126.6 meV per atom
* VASP energy: -7.2144 eV per atom
* magnetization: 0.0000 μB per atom
* space group: Pm (6)